Here is crystalline La2GaRuN at its relaxed geometry from Alexandria via LeMat-Bulk. Energies are from PBE.

Cell lengths 5.244, 5.244, 3.907 Å; angles 90.00, 90.00, 90.00 degrees
Atoms (fractional coordinates):
1 La 0.000 0.500 0.000
2 La 0.500 0.000 0.000
3 Ga 0.000 0.000 0.500
4 Ru 0.500 0.500 0.500
5 N 0.500 0.500 0.000

ΔE_f (raw) in eV/atom: -0.67
Total energy in eV/atom: -6.768
Energy relative to the lowest polymorph listed for this composition in meV/atom: 25



Here is crystalline LaGaS2N at its relaxed geometry from Alexandria via LeMat-Bulk. Energies are from PBE.

Cell lengths 4.959, 4.959, 3.961 Å; angles 90.00, 90.00, 90.00 degrees
Atoms (fractional coordinates):
1 La 0.000 0.000 0.000
2 Ga 0.500 0.500 0.500
3 S 0.000 0.500 0.500
4 S 0.500 0.000 0.500
5 N 0.500 0.500 0.000

ΔE_f (raw) in eV/atom: -0.63
Total energy in eV/atom: -5.538
Energy relative to the lowest polymorph listed for this composition in meV/atom: 0



Here is crystalline LaGaS2N at its relaxed geometry from Alexandria via LeMat-Bulk. Energies are from PBE.

Cell lengths 5.681, 5.681, 4.386 Å; angles 90.00, 90.00, 90.00 degrees
Atoms (fractional coordinates):
1 La 0.000 0.000 0.000
2 Ga 0.500 0.500 0.500
3 S 0.000 0.500 0.000
4 S 0.500 0.000 0.000
5 N 0.000 0.000 0.500

ΔE_f (raw) in eV/atom: 0.15
Total energy in eV/atom: -4.754
Energy relative to the lowest polymorph listed for this composition in meV/atom: 784



Here is crystalline La2ScGaN at its relaxed geometry from Alexandria via LeMat-Bulk. Energies are from PBE.

Cell lengths 5.130, 5.130, 4.405 Å; angles 90.00, 90.00, 90.00 degrees
Atoms (fractional coordinates):
1 La 0.000 0.500 0.000
2 La 0.500 0.000 0.000
3 Sc 0.000 0.000 0.500
4 Ga 0.500 0.500 0.500
5 N 0.000 0.000 0.000

ΔE_f (raw) in eV/atom: -0.88
Total energy in eV/atom: -6.383



Here is crystalline LaGaSe2N at its relaxed geometry from Alexandria via LeMat-Bulk. Energies are from PBE.

Cell lengths 5.997, 5.997, 4.302 Å; angles 90.00, 90.00, 90.00 degrees
Atoms (fractional coordinates):
1 La 0.000 0.000 0.000
2 Ga 0.500 0.500 0.500
3 Se 0.000 0.500 0.000
4 Se 0.500 0.000 0.000
5 N 0.000 0.000 0.500

ΔE_f (raw) in eV/atom: 0.10
Total energy in eV/atom: -4.552
Energy relative to the lowest polymorph listed for this composition in meV/atom: 611



Here is crystalline LaGaSeN2 at its relaxed geometry from Alexandria via LeMat-Bulk. Energies are from PBE.

Cell lengths 4.130, 4.130, 5.005 Å; angles 90.00, 90.00, 90.00 degrees
Atoms (fractional coordinates):
1 La 0.000 0.000 0.000
2 Ga 0.500 0.500 0.500
3 Se 0.500 0.500 0.000
4 N 0.000 0.500 0.500
5 N 0.500 0.000 0.500

ΔE_f (raw) in eV/atom: 0.05
Total energy in eV/atom: -5.568
Energy relative to the lowest polymorph listed for this composition in meV/atom: 0



Here is crystalline LaGaSeN2 at its relaxed geometry from Alexandria via LeMat-Bulk. Energies are from PBE.

Cell lengths 4.218, 4.218, 6.467 Å; angles 90.00, 90.00, 90.00 degrees
Atoms (fractional coordinates):
1 La 0.000 0.000 0.000
2 Ga 0.500 0.500 0.500
3 Se 0.000 0.000 0.500
4 N 0.000 0.500 0.000
5 N 0.500 0.000 0.000

ΔE_f (raw) in eV/atom: 0.61
Total energy in eV/atom: -5.004
Energy relative to the lowest polymorph listed for this composition in meV/atom: 564



Here is crystalline LaGaSe2N at its relaxed geometry from Alexandria via LeMat-Bulk. Energies are from PBE.

Cell lengths 5.171, 5.171, 3.881 Å; angles 90.00, 90.00, 90.00 degrees
Atoms (fractional coordinates):
1 La 0.000 0.000 0.000
2 Ga 0.500 0.500 0.500
3 Se 0.000 0.500 0.500
4 Se 0.500 0.000 0.500
5 N 0.500 0.500 0.000

ΔE_f (raw) in eV/atom: -0.51
Total energy in eV/atom: -5.163
Energy relative to the lowest polymorph listed for this composition in meV/atom: 0



Here is crystalline LaGaSiN2 at its relaxed geometry from Alexandria via LeMat-Bulk. Energies are from PBE.

Cell lengths 4.215, 4.215, 6.363 Å; angles 90.00, 90.00, 90.00 degrees
Atoms (fractional coordinates):
1 La 0.000 0.000 0.000
2 Ga 0.500 0.500 0.500
3 Si 0.000 0.000 0.500
4 N 0.000 0.500 0.000
5 N 0.500 0.000 0.000

ΔE_f (raw) in eV/atom: 1.11
Total energy in eV/atom: -4.891



Here is crystalline La4GaSiN at its relaxed geometry from Alexandria via LeMat-Bulk. Energies are from PBE.

Cell lengths 8.862, 8.862, 6.923 Å; angles 90.00, 90.00, 134.13 degrees
Atoms (fractional coordinates):
1 La 0.000 0.500 0.000
2 La 0.000 0.500 0.500
3 La 0.069 0.931 0.750
4 La 0.422 0.578 0.750
5 La 0.500 0.000 0.000
6 La 0.500 0.000 0.500
7 La 0.578 0.422 0.250
8 La 0.931 0.069 0.250
9 Ga 0.385 0.615 0.250
10 Ga 0.615 0.385 0.750
11 Si 0.114 0.886 0.250
12 Si 0.886 0.114 0.750
13 N 0.272 0.728 0.750
14 N 0.728 0.272 0.250

ΔE_f (raw) in eV/atom: -0.73
Total energy in eV/atom: -5.940



Here is crystalline LaSm2GaN4 at its relaxed geometry from Alexandria via LeMat-Bulk. Energies are from PBE.

Cell lengths 6.172, 6.172, 12.074 Å; angles 90.00, 90.00, 146.92 degrees
Atoms (fractional coordinates):
1 La 0.105 0.895 0.750
2 La 0.895 0.105 0.250
3 Sm 0.369 0.631 0.544
4 Sm 0.369 0.631 0.956
5 Sm 0.631 0.369 0.044
6 Sm 0.631 0.369 0.456
7 Ga 0.165 0.835 0.250
8 Ga 0.835 0.165 0.750
9 N 0.000 0.000 0.000
10 N 0.000 0.000 0.500
11 N 0.269 0.731 0.126
12 N 0.269 0.731 0.374
13 N 0.436 0.564 0.750
14 N 0.564 0.436 0.250
15 N 0.731 0.269 0.626
16 N 0.731 0.269 0.874

ΔE_f (raw) in eV/atom: -1.13
Total energy in eV/atom: -7.465



Here is crystalline La2SmGaN at its relaxed geometry from Alexandria via LeMat-Bulk. Energies are from PBE.

Cell lengths 5.052, 5.052, 4.942 Å; angles 90.00, 90.00, 90.00 degrees
Atoms (fractional coordinates):
1 La 0.000 0.500 0.000
2 La 0.500 0.000 0.000
3 Sm 0.000 0.000 0.500
4 Ga 0.500 0.500 0.500
5 N 0.000 0.000 0.000

ΔE_f (raw) in eV/atom: -0.84
Total energy in eV/atom: -6.020